PBEsol Co2BiBP2O10, optimized geometry; V = 171.7 Å³/f.u.; raw formation energy = -1.7523 eV/atom; Fermi-level density of states = 0.088 states/eV/atom; E_tot = -7.431 eV/atom
1.0
5.011 0.000 0.000
0.000 11.238 0.000
-1.970 0.000 6.098
Co Bi B P O
4 2 2 4 20
direct
0.144 0.106 0.158
0.144 0.394 0.158
0.856 0.606 0.842
0.856 0.894 0.842
0.254 0.750 0.560
0.746 0.250 0.440
0.429 0.750 0.017
0.571 0.250 0.983
0.300 0.063 0.713
0.300 0.437 0.713
0.700 0.563 0.287
0.700 0.937 0.287
0.097 0.045 0.850
0.097 0.455 0.850
0.137 0.750 0.861
0.141 0.123 0.493
0.141 0.377 0.493
0.378 0.250 0.112
0.438 0.554 0.678
0.438 0.946 0.678
0.452 0.644 0.159
0.452 0.856 0.159
0.548 0.144 0.841
0.548 0.356 0.841
0.562 0.054 0.322
0.562 0.446 0.322
0.622 0.750 0.888
0.859 0.623 0.507
0.859 0.877 0.507
0.863 0.250 0.139
0.903 0.545 0.150
0.903 0.955 0.150

PBEsol Ir3Ru, optimized geometry; V = 55.5 Å³/f.u.; Fermi-level density of states = 0.925 states/eV/atom; E_tot = -9.920 eV/atom
1.0
2.696 0.000 0.000
-1.348 2.335 0.000
0.000 0.000 26.426
Ir Ru
9 3
direct
0.000 0.000 0.000
0.000 0.000 0.249
0.000 0.000 0.751
0.333 0.667 0.418
0.333 0.667 0.667
0.333 0.667 0.915
0.667 0.333 0.085
0.667 0.333 0.333
0.667 0.333 0.582
0.000 0.000 0.500
0.333 0.667 0.167
0.667 0.333 0.833

PBEsol CsTc3Te, optimized geometry; V = 118.7 Å³/f.u.; raw formation energy = 3.0615 eV/atom; Fermi-level density of states = 1.373 states/eV/atom; E_tot = -4.592 eV/atom
1.0
4.914 0.000 0.000
0.000 4.914 0.000
0.000 0.000 4.914
Cs Tc Te
1 3 1
direct
0.000 0.000 0.000
0.000 0.000 0.500
0.000 0.500 0.000
0.500 0.000 0.000
0.500 0.500 0.500

PBEsol HgP2CO, optimized geometry; V = 62.2 Å³/f.u.; raw formation energy = 0.9950 eV/atom; Fermi-level density of states = 0.530 states/eV/atom; E_tot = -4.414 eV/atom
1.0
4.267 0.000 0.000
0.000 4.267 0.000
0.000 0.000 3.418
Hg P C O
1 2 1 1
direct
0.000 0.000 0.000
0.000 0.500 0.500
0.500 0.000 0.500
0.500 0.500 0.500
0.500 0.500 0.000

PBEsol CuRuPt2, optimized geometry; V = 54.9 Å³/f.u.; energy above the lowest structure with this stoichiometry = 0.0 meV per atom; Fermi-level density of states = 1.252 states/eV/atom; E_tot = -7.147 eV/atom
1.0
2.707 0.000 0.000
0.000 2.707 0.000
0.000 0.000 7.487
Cu Ru Pt
1 1 2
direct
0.000 0.000 0.000
0.000 0.000 0.500
0.500 0.500 0.248
0.500 0.500 0.752

PBEsol ZnRe2W, optimized geometry; V = 58.3 Å³/f.u.; Fermi-level density of states = 0.564 states/eV/atom; E_tot = -10.306 eV/atom
1.0
2.737 0.000 0.000
0.000 4.015 0.000
0.000 0.000 5.302
Zn Re W
1 2 1
direct
0.000 0.000 0.000
0.000 0.000 0.494
0.500 0.500 0.251
0.500 0.500 0.752

PBEsol CaTiFe2S, optimized geometry; V = 95.5 Å³/f.u.; raw formation energy = 1.9461 eV/atom; Fermi-level density of states = 1.173 states/eV/atom; E_tot = -4.607 eV/atom
1.0
4.277 0.000 0.000
0.000 4.277 0.000
0.000 0.000 5.219
Ca Ti Fe S
1 1 2 1
direct
0.000 0.000 0.000
0.000 0.000 0.500
0.000 0.500 0.000
0.500 0.000 0.000
0.500 0.500 0.500

PBEsol In2Au, optimized geometry; V = 69.5 Å³/f.u.; Fermi-level density of states = 0.330 states/eV/atom; E_tot = -3.548 eV/atom
1.0
6.527 0.000 0.000
0.000 6.527 0.000
0.000 0.000 6.527
In Au
8 4
direct
0.250 0.250 0.250
0.250 0.250 0.750
0.250 0.750 0.250
0.250 0.750 0.750
0.750 0.250 0.250
0.750 0.250 0.750
0.750 0.750 0.250
0.750 0.750 0.750
0.000 0.000 0.000
0.000 0.500 0.500
0.500 0.000 0.500
0.500 0.500 0.000

PBEsol CdTeCl2, optimized geometry; V = 97.0 Å³/f.u.; raw formation energy = -0.2305 eV/atom; energy above the lowest structure with this stoichiometry = 0.0 meV per atom; Fermi-level density of states = 0.447 states/eV/atom; E_tot = -2.415 eV/atom
1.0
6.393 0.000 0.000
0.000 6.623 0.000
0.000 0.000 4.581
Cd Te Cl
2 2 4
direct
0.000 0.000 0.000
0.500 0.500 0.000
0.000 0.500 0.000
0.500 0.000 0.000
0.000 0.249 0.500
0.000 0.751 0.500
0.500 0.251 0.500
0.500 0.749 0.500

PBEsol LaSc2Rh, optimized geometry; V = 84.7 Å³/f.u.; Fermi-level density of states = 1.224 states/eV/atom; E_tot = -6.835 eV/atom
1.0
6.971 0.000 0.000
0.000 6.971 0.000
0.000 0.000 6.971
La Sc Rh
4 8 4
direct
0.000 0.000 0.000
0.000 0.500 0.500
0.500 0.000 0.500
0.500 0.500 0.000
0.000 0.000 0.500
0.000 0.500 0.000
0.250 0.250 0.250
0.250 0.750 0.750
0.500 0.000 0.000
0.500 0.500 0.500
0.750 0.250 0.750
0.750 0.750 0.250
0.250 0.250 0.750
0.250 0.750 0.250
0.750 0.250 0.250
0.750 0.750 0.750

PBEsol Ag2SnPb2, optimized geometry; V = 123.7 Å³/f.u.; energy above the lowest structure with this stoichiometry = 63.8 meV per atom; Fermi-level density of states = 0.452 states/eV/atom; E_tot = -3.631 eV/atom
1.0
3.827 0.000 0.000
0.000 3.827 0.000
0.000 0.000 16.890
Ag Sn Pb
4 2 4
direct
0.000 0.500 0.250
0.000 0.500 0.750
0.500 0.000 0.250
0.500 0.000 0.750
0.000 0.000 0.000
0.500 0.500 0.500
0.000 0.000 0.391
0.000 0.000 0.609
0.500 0.500 0.109
0.500 0.500 0.891

PBEsol Y2AlSi, optimized geometry; V = 89.5 Å³/f.u.; raw formation energy = -0.2619 eV/atom; Fermi-level density of states = 0.761 states/eV/atom; E_tot = -6.133 eV/atom
1.0
3.353 0.000 0.000
0.000 3.353 0.000
0.000 0.000 7.963
Y Al Si
2 1 1
direct
0.000 0.000 0.000
0.500 0.500 0.354
0.000 0.000 0.608
0.500 0.500 0.757

PBEsol Sm2Sb5, optimized geometry; V = 197.5 Å³/f.u.; raw formation energy = -0.7195 eV/atom; Fermi-level density of states = 0.274 states/eV/atom; E_tot = -5.430 eV/atom
1.0
13.200 0.000 0.000
0.000 4.175 0.000
-3.057 0.000 14.334
Sm Sb
8 20
direct
0.048 0.250 0.361
0.331 0.250 0.578
0.336 0.250 0.856
0.392 0.750 0.229
0.608 0.250 0.771
0.664 0.750 0.144
0.669 0.750 0.422
0.952 0.750 0.639
0.032 0.250 0.091
0.138 0.250 0.679
0.143 0.750 0.221
0.144 0.750 0.521
0.148 0.750 0.828
0.279 0.250 0.063
0.285 0.250 0.348
0.420 0.750 0.024
0.425 0.750 0.735
0.426 0.750 0.449
0.574 0.250 0.551
0.575 0.250 0.265
0.580 0.250 0.976
0.715 0.750 0.652
0.721 0.750 0.937
0.852 0.250 0.172
0.856 0.250 0.479
0.857 0.250 0.779
0.862 0.750 0.321
0.968 0.750 0.909

PBEsol Sc5In4Pb2, optimized geometry; V = 251.3 Å³/f.u.; Fermi-level density of states = 0.910 states/eV/atom; E_tot = -5.206 eV/atom
1.0
7.663 0.000 0.000
0.000 20.133 0.000
0.000 0.000 3.257
Sc In Pb
10 8 4
direct
0.000 0.000 0.000
0.148 0.413 0.000
0.206 0.672 0.000
0.294 0.172 0.000
0.352 0.913 0.000
0.500 0.500 0.000
0.648 0.087 0.000
0.706 0.828 0.000
0.794 0.328 0.000
0.852 0.587 0.000
0.030 0.871 0.500
0.174 0.543 0.500
0.326 0.043 0.500
0.470 0.371 0.500
0.530 0.629 0.500
0.674 0.957 0.500
0.826 0.457 0.500
0.970 0.129 0.500
0.120 0.281 0.500
0.380 0.781 0.500
0.620 0.219 0.500
0.880 0.719 0.500

PBEsol AlAs2W, optimized geometry; V = 62.4 Å³/f.u.; Fermi-level density of states = 0.707 states/eV/atom; E_tot = -6.749 eV/atom
1.0
4.371 0.000 0.000
0.000 4.371 0.000
0.000 0.000 6.535
Al As W
2 4 2
direct
0.000 0.000 0.000
0.500 0.500 0.500
0.000 0.500 0.250
0.000 0.500 0.750
0.500 0.000 0.250
0.500 0.000 0.750
0.000 0.000 0.500
0.500 0.500 0.000

PBEsol PrHo3, optimized geometry; V = 121.0 Å³/f.u.; energy above the lowest structure with this stoichiometry = 2.1 meV per atom; Fermi-level density of states = 1.314 states/eV/atom; E_tot = -4.989 eV/atom
1.0
4.950 0.000 0.000
0.000 4.950 0.000
0.000 0.000 9.876
Pr Ho
2 6
direct
0.000 0.000 0.000
0.500 0.500 0.500
0.000 0.000 0.500
0.000 0.500 0.250
0.000 0.500 0.750
0.500 0.000 0.250
0.500 0.000 0.750
0.500 0.500 0.000

PBEsol KSrZnGa2, optimized geometry; V = 188.5 Å³/f.u.; Fermi-level density of states = 0.867 states/eV/atom; E_tot = -1.209 eV/atom
1.0
5.489 0.000 0.000
0.000 5.489 0.000
0.000 0.000 6.256
K Sr Zn Ga
1 1 1 2
direct
0.000 0.000 0.000
0.000 0.000 0.500
0.500 0.500 0.500
0.000 0.500 0.000
0.500 0.000 0.000

PBEsol Sr4CoRe, optimized geometry; V = 174.6 Å³/f.u.; Fermi-level density of states = 2.071 states/eV/atom; E_tot = -2.952 eV/atom
1.0
0.000 4.436 4.436
4.436 0.000 4.436
4.436 4.436 0.000
Sr Co Re
4 1 1
direct
0.125 0.125 0.125
0.125 0.125 0.626
0.125 0.626 0.125
0.626 0.125 0.125
0.500 0.500 0.500
0.750 0.750 0.750

PBEsol MnMoAu2, optimized geometry; V = 61.9 Å³/f.u.; energy above the lowest structure with this stoichiometry = 0.0 meV per atom; Fermi-level density of states = 0.900 states/eV/atom; E_tot = -7.099 eV/atom
1.0
2.741 0.000 0.000
0.000 4.034 0.000
0.000 0.000 5.598
Mn Mo Au
1 1 2
direct
0.000 0.000 0.000
0.000 0.000 0.500
0.500 0.500 0.249
0.500 0.500 0.751

PBEsol KReTe2, optimized geometry; V = 116.0 Å³/f.u.; raw formation energy = 0.2880 eV/atom; energy above the lowest structure with this stoichiometry = 0.0 meV per atom; Fermi-level density of states = 0.790 states/eV/atom; E_tot = -5.091 eV/atom
1.0
3.290 0.000 0.000
0.000 6.247 0.000
0.000 0.000 11.286
K Re Te
2 2 4
direct
0.000 0.000 0.000
0.500 0.500 0.500
0.000 0.000 0.500
0.500 0.500 0.000
0.000 0.500 0.180
0.000 0.500 0.820
0.500 0.000 0.320
0.500 0.000 0.680

PBEsol NiOsRh2, optimized geometry; V = 51.7 Å³/f.u.; energy above the lowest structure with this stoichiometry = 45.6 meV per atom; Fermi-level density of states = 1.199 states/eV/atom; E_tot = -8.592 eV/atom
1.0
2.652 0.000 0.000
0.000 3.709 0.000
0.000 0.000 5.254
Ni Os Rh
1 1 2
direct
0.000 0.000 0.000
0.500 0.500 0.238
0.000 0.000 0.485
0.500 0.500 0.757

PBEsol MnNiIr2, optimized geometry; V = 50.3 Å³/f.u.; Fermi-level density of states = 1.113 states/eV/atom; E_tot = -8.927 eV/atom
1.0
5.316 0.000 0.000
0.000 7.072 0.000
0.000 0.000 2.674
Mn Ni Ir
2 2 4
direct
0.000 0.000 0.000
0.500 0.500 0.000
0.000 0.500 0.000
0.500 0.000 0.000
0.250 0.250 0.500
0.250 0.750 0.500
0.750 0.250 0.500
0.750 0.750 0.500

PBEsol Sb2SeICl, optimized geometry; V = 161.3 Å³/f.u.; raw formation energy = 0.5066 eV/atom; Fermi-level density of states = 0.889 states/eV/atom; E_tot = -2.841 eV/atom
1.0
5.393 0.000 0.000
0.000 5.393 0.000
0.000 0.000 5.546
Sb Se I Cl
2 1 1 1
direct
0.000 0.500 0.000
0.500 0.000 0.000
0.000 0.000 0.000
0.000 0.000 0.500
0.500 0.500 0.500

PBEsol CsAlCu3, optimized geometry; V = 112.6 Å³/f.u.; Fermi-level density of states = 0.412 states/eV/atom; E_tot = -3.045 eV/atom
1.0
4.829 0.000 0.000
0.000 4.829 0.000
0.000 0.000 4.829
Cs Al Cu
1 1 3
direct
0.000 0.000 0.000
0.500 0.500 0.500
0.000 0.500 0.500
0.500 0.000 0.500
0.500 0.500 0.000

PBEsol KY3Co, optimized geometry; V = 130.0 Å³/f.u.; Fermi-level density of states = 1.477 states/eV/atom; E_tot = -4.150 eV/atom
1.0
5.066 0.000 0.000
0.000 5.066 0.000
0.000 0.000 5.066
K Y Co
1 3 1
direct
0.000 0.000 0.000
0.000 0.000 0.500
0.000 0.500 0.000
0.500 0.000 0.000
0.500 0.500 0.500

PBEsol YTeAs2, optimized geometry; V = 96.0 Å³/f.u.; raw formation energy = -0.5747 eV/atom; Fermi-level density of states = 0.229 states/eV/atom; E_tot = -5.715 eV/atom
1.0
4.013 0.000 0.000
0.000 4.013 0.000
0.000 0.000 5.961
Y Te As
1 1 2
direct
0.000 0.000 0.000
0.500 0.500 0.832
0.000 0.000 0.459
0.500 0.500 0.352